1.
# La7Cd2Rh2

A relaxed structure of La7Cd2Rh2 (GGA-PBE, Alexandria).

```
11
Lattice="-1.9739 7.8187 5.4752 1.9739 -7.8187 5.4752 1.9739 7.8187 -5.4752" Properties=species:S:1:pos:R:3 pbc="T T T"
La 0.0000 0.0000 0.0000
La 1.9739 -2.4585 2.1838
La 1.9739 5.0784 -0.1082
La 1.9739 2.4585 2.1838
La 0.0000 5.6530 3.1298
La 0.0000 2.7404 5.3670
La 0.0000 9.9844 3.1298
Cd 0.0000 0.0000 3.3708
Cd 0.0000 7.8187 0.3114
Rh 1.9739 -4.8844 5.2504
Rh 1.9739 4.8844 5.2504
```

space-group type = Imm2 (44)
formation energy from the elements = -0.361 eV/atom
density = 6.89 g cm⁻³
spin magnetization = 0.00 Bohr magnetons per cell

---

2.
# La3CdRh8

A relaxed structure of La3CdRh8 (GGA-PBE, Alexandria).

```
12
Lattice="2.6976 1.5575 8.8726 -2.6976 1.5575 8.8726 0.0000 -3.1149 8.8726" Properties=species:S:1:pos:R:3 pbc="T T T"
La 0.0000 0.0000 0.0000
La 0.0000 0.0000 3.4062
La 0.0000 0.0000 13.5001
Cd 0.0000 0.0000 16.7687
Rh -1.3511 -0.7800 10.5958
Rh 0.0000 -1.5558 6.2203
Rh -1.3474 0.7779 6.2203
Rh 0.0000 0.0000 8.4042
Rh 1.3511 -0.7800 10.5958
Rh 0.0000 1.5601 10.5958
Rh 1.3474 0.7779 6.2203
Rh 0.0000 0.0000 21.7142
```

space-group type = R3m (160)
formation energy from the elements = -0.536 eV/atom
density = 10.04 g cm⁻³
spin magnetization = 0.00 Bohr magnetons per cell

---

3.
# La3CdRh

A relaxed structure of La3CdRh (GGA-PBE, Alexandria).

```
5
Lattice="5.5615 0.0000 0.0000 0.0000 5.5615 0.0000 0.0000 0.0000 5.5615" Properties=species:S:1:pos:R:3 pbc="T T T"
La 0.0000 0.0000 2.7808
La 0.0000 2.7808 0.0000
La 2.7808 0.0000 0.0000
Cd 2.7808 2.7808 2.7808
Rh 0.0000 0.0000 0.0000
```

space-group type = Pm-3m (221)
formation energy from the elements = -0.331 eV/atom
density = 6.10 g cm⁻³
spin magnetization = 0.00 Bohr magnetons per cell

---

4.
# LaCdRh2

A relaxed structure of LaCdRh2 (GGA-PBE, Alexandria).

```
4
Lattice="3.5294 0.0000 0.0000 0.0000 3.5294 0.0000 0.0000 0.0000 6.8504" Properties=species:S:1:pos:R:3 pbc="T T T"
La 0.0000 0.0000 0.0000
Cd 1.7647 1.7647 4.4241
Rh 0.0000 0.0000 2.7189
Rh 1.7647 1.7647 1.7036
```

space-group type = P4mm (99)
formation energy from the elements = -0.163 eV/atom
density = 8.90 g cm⁻³
spin magnetization = 0.01 Bohr magnetons per cell

---

5.
# LaCd3Rh

A relaxed structure of LaCd3Rh (GGA-PBE, Alexandria).

```
10
Lattice="5.2724 0.0000 0.0000 0.0000 7.3868 0.0000 -1.1578 0.0000 6.0253" Properties=species:S:1:pos:R:3 pbc="T T T"
La 0.6642 1.8467 0.9827
La 3.4504 5.5401 5.0426
Cd 0.5181 5.5401 2.3518
Cd 0.9567 0.3653 4.2099
Cd 0.9567 3.3281 4.2099
Cd 3.1578 4.0587 1.8154
Cd 3.1578 7.0215 1.8154
Cd 3.5965 1.8467 3.6735
Rh 0.6097 5.5401 5.8090
Rh 3.5049 1.8467 0.2163
```

space-group type = P2_1/m (11)
formation energy from the elements = -0.405 eV/atom
density = 8.19 g cm⁻³
spin magnetization = 0.00 Bohr magnetons per cell

---

6.
# LaCdSb2Rh5

A relaxed structure of LaCdSb2Rh5 (GGA-PBE, Alexandria).

```
9
Lattice="4.0859 0.0000 0.0000 0.0000 4.0859 0.0000 0.0000 0.0000 11.8672" Properties=species:S:1:pos:R:3 pbc="T T T"
La 0.0000 0.0000 0.0000
Cd 0.0000 0.0000 5.9336
Sb 2.0429 2.0429 2.5764
Sb 2.0429 2.0429 9.2908
Rh 0.0000 2.0429 4.0964
Rh 0.0000 2.0429 7.7708
Rh 2.0429 0.0000 4.0964
Rh 2.0429 0.0000 7.7708
Rh 2.0429 2.0429 0.0000
```

VASP energy = -5.884 eV per atom
space-group type = P4/mmm (123)
density = 8.46 g cm⁻³
spin magnetization = 0.00 Bohr magnetons per cell

---

- Which formula does entry 6 have?
  LaCdSb2Rh5